Entry 1:
Here is AcPr2TmTe5 after structural relaxation from Alexandria via LeMat-Bulk. Energies are from PBE-GGA.

a b c (Å): 5.5011 5.5011 12.1880
angles (deg): 90.00 90.00 90.00
Atoms (fractional coordinates):
Ac (0.0000, 0.0000, 0.0000)
Pr (0.5000, 0.5000, 0.3480)
Pr (0.5000, 0.5000, 0.6520)
Tm (0.0000, 0.0000, 0.5000)
Te (0.0000, 0.5000, 0.5000)
Te (0.5000, 0.0000, 0.5000)
Te (0.0000, 0.0000, 0.7426)
Te (0.0000, 0.0000, 0.2574)
Te (0.5000, 0.5000, 0.0000)

Summary:
uncorrected formation energy = -835 kJ/mol of formula units
calculated volume = 40.981 Å³/atom
space-group type = P4/mmm
mass density = 5.92 Mg/m³

---

Entry 2:
Here is Ac2PrTmTe6 after structural relaxation from Alexandria via LeMat-Bulk. Energies are from PBE-GGA.

a b c (Å): 8.1481 8.1487 8.5388
angles (deg): 61.51 61.50 60.01
Atoms (fractional coordinates):
Ac (0.5219, 0.5220, 0.4342)
Ac (0.0206, 0.0206, 0.9382)
Pr (0.8198, 0.8200, 0.5402)
Tm (0.3218, 0.3217, 0.0347)
Te (0.5881, 0.2000, 0.2567)
Te (0.1999, 0.9551, 0.2568)
Te (0.9552, 0.5880, 0.2568)
Te (0.4419, 0.6900, 0.7659)
Te (0.6900, 0.1023, 0.7658)
Te (0.1022, 0.4420, 0.7659)

Summary:
uncorrected formation energy = -1387 kJ/mol of formula units
calculated volume = 40.978 Å³/atom
space-group type = R3
mass density = 6.20 Mg/m³

---

Entry 3:
Here is Ac2PrYTe6 after structural relaxation from Alexandria via LeMat-Bulk. Energies are from PBE-GGA.

a b c (Å): 8.1742 8.1743 8.5763
angles (deg): 61.55 61.55 60.01
Atoms (fractional coordinates):
Ac (0.5213, 0.5214, 0.4360)
Ac (0.0200, 0.0199, 0.9401)
Pr (0.8196, 0.8197, 0.5411)
Y (0.3214, 0.3212, 0.0361)
Te (0.5916, 0.2006, 0.2572)
Te (0.2005, 0.9506, 0.2573)
Te (0.9507, 0.5915, 0.2573)
Te (0.4402, 0.6937, 0.7633)
Te (0.6938, 0.1027, 0.7633)
Te (0.1025, 0.4403, 0.7634)

Summary:
uncorrected formation energy = -1402 kJ/mol of formula units
calculated volume = 41.447 Å³/atom
space-group type = R3
mass density = 5.81 Mg/m³

---

Entry 4:
Here is AcPr4Y3Te8 after structural relaxation from Alexandria via LeMat-Bulk. Energies are from PBE-GGA.

a b c (Å): 8.9583 9.0481 8.9605
angles (deg): 119.70 119.99 90.00
Atoms (fractional coordinates):
Ac (0.0000, 0.5000, 0.0000)
Pr (0.5000, 0.0000, 0.0000)
Pr (0.5000, 0.0000, 0.5000)
Pr (0.0000, 0.0000, 0.0000)
Pr (0.0000, 0.0000, 0.5000)
Y (0.5000, 0.5000, 0.0000)
Y (0.5000, 0.5000, 0.5000)
Y (0.0000, 0.5000, 0.5000)
Te (0.2539, 0.7439, 0.9900)
Te (0.2539, 0.7439, 0.5078)
Te (0.2548, 0.2644, 0.5096)
Te (0.7361, 0.7439, 0.9900)
Te (0.2639, 0.2561, 0.0100)
Te (0.7452, 0.7356, 0.4904)
Te (0.7461, 0.2561, 0.4922)
Te (0.7461, 0.2561, 0.0100)

Summary:
uncorrected formation energy = -2134 kJ/mol of formula units
calculated volume = 32.248 Å³/atom
space-group type = R-3m
mass density = 6.69 Mg/m³

---

Entry 5:
Here is Ac2Pr3YTe6 after structural relaxation from Alexandria via LeMat-Bulk. Energies are from PBE-GGA.

a b c (Å): 7.9297 7.9297 7.9239
angles (deg): 99.62 99.62 120.18
Atoms (fractional coordinates):
Ac (0.3353, 0.6647, 0.0000)
Ac (0.6647, 0.3353, 0.0000)
Pr (0.1785, 0.8215, 0.5000)
Pr (0.8215, 0.1785, 0.5000)
Pr (0.5000, 0.5000, 0.5000)
Y (0.0000, 0.0000, 0.0000)
Te (0.9187, 0.6009, 0.7511)
Te (0.7714, 0.7714, 0.2614)
Te (0.0813, 0.3991, 0.2489)
Te (0.6009, 0.9187, 0.7511)
Te (0.2286, 0.2286, 0.7386)
Te (0.3991, 0.0813, 0.2489)

Summary:
uncorrected formation energy = -1653 kJ/mol of formula units
calculated volume = 33.819 Å³/atom
space-group type = C2/m
mass density = 7.08 Mg/m³

---

Entry 6:
Here is Ac5Pr12Th2 after structural relaxation from Alexandria via LeMat-Bulk. Energies are from PBE-GGA.

a b c (Å): 12.2651 12.2651 9.1046
angles (deg): 70.15 70.15 35.00
Atoms (fractional coordinates):
Ac (0.7549, 0.7549, 0.4835)
Ac (0.6521, 0.6521, 0.9091)
Ac (0.0000, 0.0000, 0.5000)
Ac (0.3479, 0.3479, 0.0909)
Ac (0.2451, 0.2451, 0.5165)
Pr (0.8657, 0.8657, 0.0382)
Pr (0.9454, 0.4515, 0.2110)
Pr (0.4515, 0.9454, 0.2110)
Pr (0.8458, 0.3658, 0.6240)
Pr (0.3658, 0.8458, 0.6240)
Pr (0.5446, 0.5446, 0.2989)
Pr (0.4554, 0.4554, 0.7011)
Pr (0.1542, 0.6342, 0.3760)
Pr (0.6342, 0.1542, 0.3760)
Pr (0.0546, 0.5485, 0.7890)
Pr (0.5485, 0.0546, 0.7890)
Pr (0.1343, 0.1343, 0.9618)
Th (0.2589, 0.7411, 0.0000)
Th (0.7411, 0.2589, 0.0000)

Summary:
formation energy from the elements = 165 meV per atom
calculated volume = 38.640 Å³/atom
space-group type = C2/m
mass density = 7.44 Mg/m³

---

Entry 7:
Here is AcPr2Th after structural relaxation from Alexandria via LeMat-Bulk. Energies are from PBE-GGA.

a b c (Å): 5.2426 5.3032 5.3032
angles (deg): 90.00 90.00 90.00
Atoms (fractional coordinates):
Pr (0.0000, 0.0000, 0.5000)
Pr (0.0000, 0.5000, 0.0000)
Ac (0.5000, 0.0000, 0.0000)
Th (0.5000, 0.5000, 0.5000)

Summary:
formation energy from the elements = 96 meV per atom
calculated volume = 36.861 Å³/atom
space-group type = P4/mmm
energy above the most stable polymorph in this dataset = 0.051 eV per atom
mass density = 8.34 Mg/m³

---

Entry 8:
Here is Ac4Pr5Th after structural relaxation from Alexandria via LeMat-Bulk. Energies are from PBE-GGA.

a b c (Å): 3.8233 3.8233 26.8325
angles (deg): 90.00 90.00 90.00
Atoms (fractional coordinates):
Ac (0.0000, 0.0000, 0.1951)
Ac (0.0000, 0.0000, 0.3985)
Ac (0.0000, 0.0000, 0.6015)
Ac (0.0000, 0.0000, 0.8049)
Pr (0.5000, 0.5000, 0.0886)
Pr (0.5000, 0.5000, 0.2967)
Pr (0.5000, 0.5000, 0.5000)
Pr (0.5000, 0.5000, 0.7033)
Pr (0.5000, 0.5000, 0.9114)
Th (0.0000, 0.0000, 0.0000)

Summary:
formation energy from the elements = 41 meV per atom
calculated volume = 39.222 Å³/atom
space-group type = P4/mmm
mass density = 7.81 Mg/m³

---

Entry 9:
Here is AcPrTh2 after structural relaxation from Alexandria via LeMat-Bulk. Energies are from PBE-GGA.

a b c (Å): 3.6907 3.6907 12.3165
angles (deg): 81.38 81.38 60.00
Atoms (fractional coordinates):
Ac (0.4990, 0.4990, 0.5030)
Pr (0.6681, 0.6681, 0.9958)
Th (0.0815, 0.0815, 0.7554)
Th (0.2514, 0.2514, 0.2457)

Summary:
formation energy from the elements = 124 meV per atom
calculated volume = 35.775 Å³/atom
space-group type = R3m
energy above the most stable polymorph in this dataset = 0.000 eV per atom
mass density = 9.65 Mg/m³

---

Entry 10:
Here is Ac2PrTh after structural relaxation from Alexandria via LeMat-Bulk. Energies are from PBE-GGA.

a b c (Å): 3.7870 3.7870 10.8510
angles (deg): 90.00 90.00 90.00
Atoms (fractional coordinates):
Pr (0.5000, 0.5000, 0.5000)
Ac (0.0000, 0.0000, 0.7601)
Ac (0.0000, 0.0000, 0.2399)
Th (0.5000, 0.5000, 0.0000)

Summary:
formation energy from the elements = 97 meV per atom
calculated volume = 38.904 Å³/atom
space-group type = P4/mmm
energy above the most stable polymorph in this dataset = 0.000 eV per atom
mass density = 8.82 Mg/m³

---

Entry 11:
Here is AcPr2Th after structural relaxation from Alexandria via LeMat-Bulk. Energies are from PBE-GGA.

a b c (Å): 3.7445 3.7445 24.4546
angles (deg): 90.00 90.00 120.00
Atoms (fractional coordinates):
Ac (0.3333, 0.6667, 0.7500)
Ac (0.6667, 0.3333, 0.2500)
Pr (0.3333, 0.6667, 0.3826)
Pr (0.6667, 0.3333, 0.6174)
Pr (0.6667, 0.3333, 0.8826)
Pr (0.3333, 0.6667, 0.1174)
Th (0.0000, 0.0000, 0.5000)
Th (0.0000, 0.0000, 0.0000)

Summary:
formation energy from the elements = 56 meV per atom
calculated volume = 37.119 Å³/atom
space-group type = P6_3/mmc
energy above the most stable polymorph in this dataset = 0.011 eV per atom
mass density = 8.29 Mg/m³

---

Entry 12:
Here is AcPr14Th after structural relaxation from Alexandria via LeMat-Bulk. Energies are from PBE-GGA.

a b c (Å): 7.4376 7.4376 10.5559
angles (deg): 90.00 90.00 90.00
Atoms (fractional coordinates):
Ac (0.3749, 0.6251, 0.0000)
Pr (0.3750, 0.6250, 0.5000)
Pr (0.8750, 0.1250, 0.5000)
Pr (0.8748, 0.6248, 0.0000)
Pr (0.8752, 0.6252, 0.5000)
Pr (0.3752, 0.1252, 0.0000)
Pr (0.3748, 0.1248, 0.5000)
Pr (0.6309, 0.8809, 0.7508)
Pr (0.6309, 0.8809, 0.2492)
Pr (0.1191, 0.3691, 0.7508)
Pr (0.1191, 0.3691, 0.2492)
Pr (0.1192, 0.8808, 0.7510)
Pr (0.1192, 0.8808, 0.2490)
Pr (0.6308, 0.3692, 0.7506)
Pr (0.6308, 0.3692, 0.2494)
Th (0.8750, 0.1250, 0.0000)

Summary:
formation energy from the elements = 29 meV per atom
calculated volume = 36.496 Å³/atom
space-group type = P4/mmm
mass density = 6.92 Mg/m³

---

Entry 13:
Here is AcPr2Th after structural relaxation from Alexandria via LeMat-Bulk. Energies are from PBE-GGA.

a b c (Å): 3.7434 3.7434 12.4246
angles (deg): 81.34 81.34 60.00
Atoms (fractional coordinates):
Ac (0.5001, 0.5001, 0.4998)
Pr (0.0780, 0.0780, 0.7661)
Pr (0.2552, 0.2552, 0.2343)
Th (0.6668, 0.6668, 0.9997)

Summary:
formation energy from the elements = 52 meV per atom
calculated volume = 37.120 Å³/atom
space-group type = R3m
energy above the most stable polymorph in this dataset = 0.006 eV per atom
mass density = 8.29 Mg/m³

---

Entry 14:
Here is AcPr2Th after structural relaxation from Alexandria via LeMat-Bulk. Energies are from PBE-GGA.

a b c (Å): 5.9412 5.9412 5.9412
angles (deg): 60.00 60.00 60.00
Atoms (fractional coordinates):
Pr (0.2500, 0.2500, 0.2500)
Pr (0.7500, 0.7500, 0.7500)
Ac (0.5000, 0.5000, 0.5000)
Th (0.0000, 0.0000, 0.0000)

Summary:
formation energy from the elements = 200 meV per atom
calculated volume = 37.072 Å³/atom
space-group type = Fm-3m
energy above the most stable polymorph in this dataset = 0.155 eV per atom
mass density = 8.30 Mg/m³

---

Entry 15:
Here is AcPr4Th after structural relaxation from Alexandria via LeMat-Bulk. Energies are from PBE-GGA.

a b c (Å): 3.7209 9.9593 12.4061
angles (deg): 148.90 89.99 100.77
Atoms (fractional coordinates):
Ac (0.5001, 0.9997, 0.4998)
Pr (0.8211, 0.6418, 0.4861)
Pr (0.1790, 0.3582, 0.5140)
Pr (0.3468, 0.6939, 0.0096)
Pr (0.6530, 0.3061, 0.9904)
Th (0.9999, 0.0001, 0.0001)

Summary:
formation energy from the elements = 50 meV per atom
calculated volume = 36.906 Å³/atom
space-group type = C2/m
mass density = 7.67 Mg/m³

---

Entry 16:
Here is AcPr5Th after structural relaxation from Alexandria via LeMat-Bulk. Energies are from PBE-GGA.

a b c (Å): 5.8121 5.8121 8.1907
angles (deg): 90.00 90.00 90.00
Atoms (fractional coordinates):
Ac (0.0000, 0.0000, 0.0000)
Pr (0.5000, 0.5000, 0.0000)
Pr (0.5000, 0.0000, 0.2881)
Pr (0.0000, 0.5000, 0.2881)
Pr (0.5000, 0.0000, 0.7119)
Pr (0.0000, 0.5000, 0.7119)
Th (0.0000, 0.0000, 0.5000)

Summary:
formation energy from the elements = 298 meV per atom
calculated volume = 39.527 Å³/atom
space-group type = P4/mmm
mass density = 6.98 Mg/m³

---

Entry 17:
Here is AcPr2Th after structural relaxation from Alexandria via LeMat-Bulk. Energies are from PBE-GGA.

a b c (Å): 3.7166 3.7166 10.7779
angles (deg): 90.00 90.00 90.00
Atoms (fractional coordinates):
Pr (0.0000, 0.0000, 0.7733)
Pr (0.0000, 0.0000, 0.2267)
Ac (0.5000, 0.5000, 0.5000)
Th (0.5000, 0.5000, 0.0000)

Summary:
formation energy from the elements = 46 meV per atom
calculated volume = 37.218 Å³/atom
space-group type = P4/mmm
energy above the most stable polymorph in this dataset = 0.000 eV per atom
mass density = 8.26 Mg/m³

---

Entry 18:
Here is AcPrTh2 after structural relaxation from Alexandria via LeMat-Bulk. Energies are from PBE-GGA.

a b c (Å): 3.6133 3.6133 13.0960
angles (deg): 82.07 82.07 60.00
Atoms (fractional coordinates):
Pr (0.5000, 0.5000, 0.5000)
Ac (0.0000, 0.0000, 0.0000)
Th (0.0901, 0.0901, 0.7298)
Th (0.9099, 0.9099, 0.2702)

Summary:
formation energy from the elements = 279 meV per atom
calculated volume = 36.546 Å³/atom
space-group type = R-3m
energy above the most stable polymorph in this dataset = 0.155 eV per atom
mass density = 9.45 Mg/m³

---

Entry 19:
Here is AcPrTh2 after structural relaxation from Alexandria via LeMat-Bulk. Energies are from PBE-GGA.

a b c (Å): 5.3130 5.1679 5.1679
angles (deg): 90.00 90.00 90.00
Atoms (fractional coordinates):
Pr (0.5000, 0.0000, 0.0000)
Ac (0.5000, 0.5000, 0.5000)
Th (0.0000, 0.0000, 0.5000)
Th (0.0000, 0.5000, 0.0000)

Summary:
formation energy from the elements = 141 meV per atom
calculated volume = 35.474 Å³/atom
space-group type = P4/mmm
energy above the most stable polymorph in this dataset = 0.017 eV per atom
mass density = 9.74 Mg/m³

---

Entry 20:
Here is AcPr2Th after structural relaxation from Alexandria via LeMat-Bulk. Energies are from PBE-GGA.

a b c (Å): 3.6372 3.6372 13.2350
angles (deg): 82.10 82.10 60.00
Atoms (fractional coordinates):
Pr (0.0876, 0.0876, 0.7373)
Pr (0.9124, 0.9124, 0.2627)
Ac (0.5000, 0.5000, 0.5000)
Th (0.0000, 0.0000, 0.0000)

Summary:
formation energy from the elements = 250 meV per atom
calculated volume = 37.428 Å³/atom
space-group type = R-3m
energy above the most stable polymorph in this dataset = 0.205 eV per atom
mass density = 8.22 Mg/m³